Entry 1:
Density functional theory data (GGA-PBE) for an optimized crystal structure of Na6CdAu.

Calculated values
Fermi-level density of states (states/eV/f.u.): 5.189
Distance to the lowest polymorph of the same formula (meV/atom): 4
Size of the total moment (μB/cell): 0.0

Geometry as CIF:
```
data_Na6CdAu
_chemical_formula_sum 'Na6 Cd1 Au1'
_cell_length_a 4.8305
_cell_length_b 4.8305
_cell_length_c 9.4942
_cell_angle_alpha 90.00
_cell_angle_beta 90.00
_cell_angle_gamma 90.00
_symmetry_space_group_name_H-M 'P 4/m m m'
_symmetry_Int_Tables_number 123
_symmetry_space_group_name_Hall '-P 4 2'
loop_
_atom_site_label
_atom_site_type_symbol
_atom_site_fract_x
_atom_site_fract_y
_atom_site_fract_z
Na1 Na 0.0000 0.0000 0.0000
Na2 Na 0.0000 0.0000 0.5000
Na3 Na 0.0000 0.5000 0.2306
Cd1 Cd 0.5000 0.5000 0.5000
Au1 Au 0.5000 0.5000 0.0000
```

Entry 2:
Density functional theory data (GGA-PBE) for an optimized crystal structure of SrUCuSe3.

Calculated values
Fermi-level density of states (states/eV/f.u.): 3.797
Total DFT energy (no corrections) (eV/f.u.): -34.7
Size of the total moment (μB/cell): 5.9

Geometry as CIF:
```
data_SrUCuSe3
_chemical_formula_sum 'Sr2 U2 Cu2 Se6'
_cell_length_a 8.6969
_cell_length_b 4.0675
_cell_length_c 9.0987
_cell_angle_alpha 90.00
_cell_angle_beta 104.57
_cell_angle_gamma 90.00
_symmetry_space_group_name_H-M 'P 1 21/m 1'
_symmetry_Int_Tables_number 11
_symmetry_space_group_name_Hall '-P 2yb'
loop_
_atom_site_label
_atom_site_type_symbol
_atom_site_fract_x
_atom_site_fract_y
_atom_site_fract_z
Sr1 Sr 0.1866 0.2500 0.2379
U1 U 0.3297 0.7500 0.8405
Cu1 Cu 0.0805 0.2500 0.5841
Se1 Se 0.0976 0.2500 0.8617
Se2 Se 0.2199 0.7500 0.5146
Se3 Se 0.4352 0.7500 0.1713
```

Entry 3:
Density functional theory data (GGA-PBE) for an optimized crystal structure of Tb5Pr3Er.

Calculated values
Fermi-level density of states (states/eV/f.u.): 13.146
Total DFT energy (no corrections) (eV/f.u.): -37.4
Size of the total moment (μB/cell): 0.0

Geometry as CIF:
```
data_Tb5Pr3Er
_chemical_formula_sum 'Tb20 Pr12 Er4'
_cell_length_a 15.3948
_cell_length_b 11.4654
_cell_length_c 10.0262
_cell_angle_alpha 90.00
_cell_angle_beta 130.26
_cell_angle_gamma 90.00
_symmetry_space_group_name_H-M 'C 1 2/m 1'
_symmetry_Int_Tables_number 12
_symmetry_space_group_name_Hall '-C 2y'
loop_
_atom_site_label
_atom_site_type_symbol
_atom_site_fract_x
_atom_site_fract_y
_atom_site_fract_z
Tb1 Tb 0.0000 0.2445 0.0000
Tb2 Tb 0.1594 0.2489 0.7505
Tb3 Tb 0.2210 0.0000 0.2275
Tb4 Tb 0.2227 0.5000 0.0387
Pr1 Pr 0.0000 0.0000 0.5000
Pr2 Pr 0.0000 0.5000 0.0000
Pr3 Pr 0.0073 0.0000 0.8113
Pr4 Pr 0.0208 0.5000 0.3584
Er1 Er 0.2472 0.5000 0.3989
```

Entry 4:
Density functional theory data (GGA-PBE) for an optimized crystal structure of KNa2Pa3Se8.

Calculated values
Fermi-level density of states (states/eV/f.u.): 12.606
Total DFT energy (no corrections) (eV/f.u.): -78.5
Size of the total moment (μB/cell): 6.1

Geometry as CIF:
```
data_KNa2Pa3Se8
_chemical_formula_sum 'K3 Na6 Pa9 Se24'
_cell_length_a 8.5998
_cell_length_b 8.5998
_cell_length_c 22.1513
_cell_angle_alpha 90.00
_cell_angle_beta 90.00
_cell_angle_gamma 120.00
_symmetry_space_group_name_H-M 'R 3 m'
_symmetry_Int_Tables_number 160
_symmetry_space_group_name_Hall 'R 3 -2"'
loop_
_atom_site_label
_atom_site_type_symbol
_atom_site_fract_x
_atom_site_fract_y
_atom_site_fract_z
K1 K 0.0000 0.0000 0.0000
Na1 Na 0.0000 0.0000 0.3746
Na2 Na 0.0000 0.0000 0.7536
Pa1 Pa 0.1675 0.3350 0.2063
Se1 Se 0.0000 0.0000 0.1402
Se2 Se 0.0000 0.0000 0.6103
Se3 Se 0.0283 0.5141 0.1370
Se4 Se 0.1872 0.3744 0.9414
```